Record 1
Here is a relaxed structure of Er5Si2Sn2 from Alexandria. Energies are from PBE.

a b c (Å): 8.4871 8.4871 7.7268
angles (deg): 90.00 90.00 54.41
Atoms (fractional coordinates):
Er1 0.0000 0.0000 0.0000
Er2 0.0472 0.6980 0.6737
Er3 0.1980 0.5472 0.1737
Er4 0.3020 0.9528 0.6737
Er5 0.4528 0.8020 0.1737
Er6 0.5000 0.5000 0.5000
Er7 0.5472 0.1980 0.8263
Er8 0.6980 0.0472 0.3263
Er9 0.8020 0.4528 0.8263
Er10 0.9528 0.3020 0.3263
Si1 0.1230 0.8770 0.3764
Si2 0.3770 0.6230 0.8764
Si3 0.6230 0.3770 0.1236
Si4 0.8770 0.1230 0.6236
Sn1 0.2123 0.2123 0.0000
Sn2 0.2877 0.2877 0.5000
Sn3 0.7123 0.7123 0.5000
Sn4 0.7877 0.7877 0.0000

Summary:
The space-group type is No. 64. The calculation puts the raw formation energy at -6.5 eV per formula unit. As for the crystal system: orthorhombic. For the total magnetization, the calculation gives 0.00 μB/cell. The value obtained for the raw total energy is -5.357 eV per atom.

=====

Record 2
Here is a relaxed structure of Er5Si6Sn from Alexandria. Energies are from PBE.

a b c (Å): 8.0519 8.0519 5.5523
angles (deg): 101.28 101.28 126.00
Atoms (fractional coordinates):
Er1 0.0000 0.0000 0.0000
Er2 0.1894 0.8106 0.5000
Er3 0.3842 0.6158 0.0000
Er4 0.6158 0.3842 0.0000
Er5 0.8106 0.1894 0.5000
Si1 0.0140 0.6227 0.8846
Si2 0.1759 0.1759 0.6161
Si3 0.3773 0.9860 0.1154
Si4 0.6227 0.0140 0.8846
Si5 0.8241 0.8241 0.3839
Si6 0.9860 0.3773 0.1154
Sn1 0.5000 0.5000 0.5000

Summary:
The space-group type is No. 12. The calculation puts the raw formation energy at -6.9 eV per formula unit. As for the crystal system: monoclinic. For the total magnetization, the calculation gives 0.00 μB/cell. The value obtained for the raw total energy is -5.521 eV per atom.

=====

Record 3
Here is a relaxed structure of Er8SiSn2 from Alexandria. Energies are from PBE.

a b c (Å): 9.9564 9.9564 6.6072
angles (deg): 104.00 104.00 28.72
Atoms (fractional coordinates):
Er1 0.0228 0.0228 0.2791
Er2 0.2200 0.2200 0.8210
Er3 0.3496 0.3496 0.4984
Er4 0.4109 0.4109 0.0374
Er5 0.5891 0.5891 0.9626
Er6 0.6504 0.6504 0.5016
Er7 0.7800 0.7800 0.1790
Er8 0.9772 0.9772 0.7209
Si1 0.5000 0.5000 0.5000
Sn1 0.1814 0.1814 0.2588
Sn2 0.8186 0.8186 0.7412

Summary:
The space-group type is No. 12. The calculation puts the raw formation energy at -4.2 eV per formula unit. As for the crystal system: monoclinic. For the total magnetization, the calculation gives 0.00 μB/cell. The value obtained for the raw total energy is -4.925 eV per atom.

=====

Record 4
Here is a relaxed structure of ErSiSn2 from Alexandria. Energies are from PBE.

a b c (Å): 4.4374 4.4374 4.7116
angles (deg): 90.00 90.00 90.00
Atoms (fractional coordinates):
Er1 0.0000 0.0000 0.0000
Si1 0.5000 0.5000 0.0000
Sn1 0.0000 0.5000 0.5000
Sn2 0.5000 0.0000 0.5000

Summary:
The space-group type is No. 123. The calculation puts the raw formation energy at -1.0 eV per formula unit. As for the crystal system: tetragonal. For the total magnetization, the calculation gives 0.00 μB/cell. The value obtained for the raw total energy is -4.743 eV per atom.

=====

Record 5
Here is a relaxed structure of ErSiSn from Alexandria. Energies are from PBE.

a b c (Å): 8.3351 8.3351 3.9408
angles (deg): 90.00 90.00 150.32
Atoms (fractional coordinates):
Er1 0.0929 0.9071 0.7500
Er2 0.9071 0.0929 0.2500
Si1 0.4526 0.5474 0.7500
Si2 0.5474 0.4526 0.2500
Sn1 0.2584 0.7416 0.2500
Sn2 0.7416 0.2584 0.7500

Summary:
The space-group type is No. 63. The calculation puts the raw formation energy at -1.6 eV per formula unit. As for the crystal system: orthorhombic. For the total magnetization, the calculation gives 0.00 μB/cell. The value obtained for the raw total energy is -5.200 eV per atom.

=====

Record 6
Here is a relaxed structure of Er6Si2SnTe3 from Alexandria. Energies are from PBE.

a b c (Å): 9.5870 9.5870 8.6435
angles (deg): 103.72 103.72 25.44
Atoms (fractional coordinates):
Er1 0.0104 0.0104 0.2505
Er2 0.3249 0.3249 0.4343
Er3 0.3331 0.3331 0.8897
Er4 0.6669 0.6669 0.1103
Er5 0.6751 0.6751 0.5657
Er6 0.9896 0.9896 0.7495
Si1 0.1678 0.1678 0.3363
Si2 0.8322 0.8322 0.6637
Sn1 0.5000 0.5000 0.0000
Te1 0.1641 0.1641 0.8329
Te2 0.5000 0.5000 0.5000
Te3 0.8359 0.8359 0.1671

Summary:
The space-group type is No. 12. The calculation puts the raw formation energy at -12.5 eV per formula unit. As for the crystal system: monoclinic. For the total magnetization, the calculation gives 0.00 μB/cell. The value obtained for the raw total energy is -5.345 eV per atom.

=====

Record 7
Here is a relaxed structure of SrEr2Si6 from Alexandria. Energies are from PBE.

a b c (Å): 7.4960 7.4960 3.9429
angles (deg): 104.88 104.88 70.28
Atoms (fractional coordinates):
Sr1 0.0000 0.0000 0.0000
Er1 0.3514 0.3514 0.8524
Er2 0.6502 0.6502 0.1498
Si1 0.0548 0.5752 0.3141
Si2 0.3480 0.6536 0.5011
Si3 0.4263 0.9469 0.6880
Si4 0.5752 0.0548 0.3141
Si5 0.6536 0.3480 0.5011
Si6 0.9469 0.4263 0.6880

Summary:
The space-group type is No. 8. The calculation puts the raw formation energy at -3.3 eV per formula unit. As for the crystal system: monoclinic. For the total magnetization, the calculation gives 0.00 μB/cell. The value obtained for the raw total energy is -5.180 eV per atom.

=====

Record 8
Here is a relaxed structure of SrErSi from Alexandria. Energies are from PBE.

a b c (Å): 3.5292 3.5292 14.1610
angles (deg): 90.00 90.00 90.00
Atoms (fractional coordinates):
Sr1 0.0000 0.0000 0.1450
Sr2 0.0000 0.0000 0.8550
Er1 0.5000 0.5000 0.3819
Er2 0.5000 0.5000 0.6181
Si1 0.0000 0.0000 0.5000
Si2 0.5000 0.5000 0.0000

Summary:
The space-group type is No. 123. The calculation puts the raw formation energy at -0.6 eV per formula unit. As for the crystal system: tetragonal. For the total magnetization, the calculation gives 0.00 μB/cell. The value obtained for the raw total energy is -4.085 eV per atom.

=====

Record 9
Here is a relaxed structure of Er2Ta3Si4 from Alexandria. Energies are from PBE.

a b c (Å): 7.0026 7.0098 6.8528
angles (deg): 90.00 108.88 90.00
Atoms (fractional coordinates):
Er1 0.1873 0.1698 0.0640
Er2 0.1873 0.3302 0.5640
Er3 0.8127 0.6698 0.4360
Er4 0.8127 0.8302 0.9360
Ta1 0.2550 0.6768 0.2473
Ta2 0.2550 0.8232 0.7473
Ta3 0.5000 0.0000 0.5000
Ta4 0.5000 0.5000 0.0000
Ta5 0.7450 0.1768 0.2527
Ta6 0.7450 0.3232 0.7527
Si1 0.0828 0.5351 0.8655
Si2 0.0828 0.9649 0.3655
Si3 0.4917 0.1260 0.8710
Si4 0.4917 0.3740 0.3710
Si5 0.5083 0.6260 0.6290
Si6 0.5083 0.8740 0.1290
Si7 0.9172 0.0351 0.6345
Si8 0.9172 0.4649 0.1345

Summary:
The space-group type is No. 14. The calculation puts the raw formation energy at -7.0 eV per formula unit. As for the crystal system: monoclinic. For the total magnetization, the calculation gives 0.00 μB/cell. The value obtained for the raw total energy is -8.148 eV per atom.

=====

Record 10
Here is a relaxed structure of Er3TaSi6 from Alexandria. Energies are from PBE.

a b c (Å): 7.2450 7.2450 7.2450
angles (deg): 96.99 96.99 96.99
Atoms (fractional coordinates):
Er1 0.1845 0.7500 0.3155
Er2 0.2500 0.6845 0.8155
Er3 0.3155 0.1845 0.7500
Er4 0.6845 0.8155 0.2500
Er5 0.7500 0.3155 0.1845
Er6 0.8155 0.2500 0.6845
Ta1 0.0000 0.0000 0.0000
Ta2 0.5000 0.5000 0.5000
Si1 0.0167 0.0908 0.3695
Si2 0.0908 0.3695 0.0167
Si3 0.1305 0.4092 0.4833
Si4 0.3695 0.0167 0.0908
Si5 0.4092 0.4833 0.1305
Si6 0.4833 0.1305 0.4092
Si7 0.5167 0.8695 0.5908
Si8 0.5908 0.5167 0.8695
Si9 0.6305 0.9833 0.9092
Si10 0.8695 0.5908 0.5167
Si11 0.9092 0.6305 0.9833
Si12 0.9833 0.9092 0.6305

Summary:
The space-group type is No. 167. The calculation puts the raw formation energy at -5.7 eV per formula unit. As for the crystal system: trigonal. For the total magnetization, the calculation gives 0.00 μB/cell. The value obtained for the raw total energy is -6.377 eV per atom.

=====

Record 11
Here is a relaxed structure of ErTaSi2Tc from Alexandria. Energies are from PBE.

a b c (Å): 6.2217 6.2217 6.2217
angles (deg): 142.54 142.54 54.01
Atoms (fractional coordinates):
Er1 0.0000 0.0000 0.0000
Ta1 0.2500 0.7500 0.5000
Si1 0.3931 0.3931 0.0000
Si2 0.6069 0.6069 0.0000
Tc1 0.7500 0.2500 0.5000

Summary:
The space-group type is No. 119. The calculation puts the raw formation energy at -3.2 eV per formula unit. As for the crystal system: tetragonal. For the total magnetization, the calculation gives 0.00 μB/cell. The value obtained for the raw total energy is -8.161 eV per atom.

=====

Record 12
Here is a relaxed structure of TbErSi2 from Alexandria. Energies are from PBE.

a b c (Å): 3.8288 5.6749 5.6749
angles (deg): 44.21 90.00 90.00
Atoms (fractional coordinates):
Tb1 0.0000 0.0000 0.0000
Er1 0.5000 0.2804 0.2804
Si1 0.0000 0.7172 0.7172
Si2 0.5000 0.5643 0.5643

Summary:
As for the offset from the most stable computed form: 0 meV per atom. The space-group type is No. 38. The calculation puts the raw formation energy at -3.3 eV per formula unit. As for the crystal system: orthorhombic. For the total magnetization, the calculation gives 0.00 μB/cell. The value obtained for the raw total energy is -5.833 eV per atom.

=====

Record 13
Here is a relaxed structure of TbErSi from Alexandria. Energies are from PBE.

a b c (Å): 4.8284 4.8284 4.8284
angles (deg): 60.00 60.00 60.00
Atoms (fractional coordinates):
Tb1 0.0000 0.0000 0.0000
Er1 0.5000 0.5000 0.5000
Si1 0.7500 0.7500 0.7500

Summary:
As for the offset from the most stable computed form: 63 meV per atom. The space-group type is No. 216. The calculation puts the raw formation energy at -1.4 eV per formula unit. As for the crystal system: cubic. For the total magnetization, the calculation gives 0.00 μB/cell. The value obtained for the raw total energy is -5.336 eV per atom.

=====

Record 14
Here is a relaxed structure of Tb2Er3Si4 from Alexandria. Energies are from PBE.

a b c (Å): 7.6157 7.6652 7.3568
angles (deg): 90.00 106.91 90.00
Atoms (fractional coordinates):
Tb1 0.1980 0.1795 0.0836
Tb2 0.1980 0.3205 0.5836
Tb3 0.8020 0.6795 0.4164
Tb4 0.8020 0.8205 0.9164
Er1 0.2441 0.6809 0.2524
Er2 0.2441 0.8191 0.7524
Er3 0.5000 0.0000 0.5000
Er4 0.5000 0.5000 0.0000
Er5 0.7559 0.1809 0.2476
Er6 0.7559 0.3191 0.7476
Si1 0.0794 0.5299 0.8738
Si2 0.0794 0.9701 0.3738
Si3 0.4898 0.1208 0.8758
Si4 0.4898 0.3792 0.3758
Si5 0.5102 0.6208 0.6242
Si6 0.5102 0.8792 0.1242
Si7 0.9206 0.0299 0.6262
Si8 0.9206 0.4701 0.1262

Summary:
The space-group type is No. 14. The calculation puts the raw formation energy at -6.9 eV per formula unit. As for the crystal system: monoclinic. For the total magnetization, the calculation gives 0.00 μB/cell. The value obtained for the raw total energy is -5.725 eV per atom.

=====

Record 15
Here is a relaxed structure of TbErSi from Alexandria. Energies are from PBE.

a b c (Å): 8.8342 8.0657 7.3069
angles (deg): 69.95 59.06 50.99
Atoms (fractional coordinates):
Tb1 0.0061 0.0061 0.7439
Tb2 0.2561 0.2561 0.9939
Tb3 0.7439 0.7439 0.0061
Tb4 0.9939 0.9939 0.2561
Er1 0.0000 0.5000 0.5000
Er2 0.5000 0.0000 0.5000
Er3 0.5000 0.5000 0.0000
Er4 0.5000 0.5000 0.5000
Si1 0.0760 0.6740 0.0760
Si2 0.3260 0.9240 0.3260
Si3 0.6740 0.0760 0.6740
Si4 0.9240 0.3260 0.9240

Summary:
As for the offset from the most stable computed form: 215 meV per atom. The space-group type is No. 70. The calculation puts the raw formation energy at -0.9 eV per formula unit. As for the crystal system: orthorhombic. For the total magnetization, the calculation gives 0.00 μB/cell. The value obtained for the raw total energy is -5.184 eV per atom.

=====

Record 16
Here is a relaxed structure of TbEr2Si2 from Alexandria. Energies are from PBE.

a b c (Å): 6.4265 6.4265 10.1773
angles (deg): 115.68 115.68 39.40
Atoms (fractional coordinates):
Tb1 0.2169 0.2169 0.3532
Tb2 0.7831 0.7831 0.6468
Er1 0.3133 0.3133 0.9141
Er2 0.4839 0.4839 0.3137
Er3 0.5161 0.5161 0.6863
Er4 0.6867 0.6867 0.0859
Si1 0.0336 0.0336 0.9009
Si2 0.1123 0.1123 0.5621
Si3 0.8877 0.8877 0.4379
Si4 0.9664 0.9664 0.0991

Summary:
As for the offset from the most stable computed form: 107 meV per atom. The space-group type is No. 12. The calculation puts the raw formation energy at -2.9 eV per formula unit. As for the crystal system: monoclinic. For the total magnetization, the calculation gives 0.00 μB/cell. The value obtained for the raw total energy is -5.493 eV per atom.

=====

Record 17
Here is a relaxed structure of Tb3ErSi4 from Alexandria. Energies are from PBE.

a b c (Å): 8.6236 8.6236 8.6236
angles (deg): 153.12 137.66 50.86
Atoms (fractional coordinates):
Tb1 0.0000 0.0000 0.0000
Tb2 0.3060 0.8060 0.5000
Tb3 0.6940 0.1940 0.5000
Er1 0.5000 0.5000 0.0000
Si1 0.0555 0.3690 0.6865
Si2 0.3175 0.6310 0.6865
Si3 0.6825 0.3690 0.3135
Si4 0.9445 0.6310 0.3135

Summary:
The space-group type is No. 71. The calculation puts the raw formation energy at -4.6 eV per formula unit. As for the crystal system: orthorhombic. For the total magnetization, the calculation gives 0.00 μB/cell. The value obtained for the raw total energy is -5.590 eV per atom.

=====

Record 18
Here is a relaxed structure of TbErSi4 from Alexandria. Energies are from PBE.

a b c (Å): 8.3499 14.4637 4.0204
angles (deg): 90.00 90.00 90.00
Atoms (fractional coordinates):
Tb1 0.1015 0.1316 0.0000
Tb2 0.3985 0.6316 0.0000
Tb3 0.6015 0.3684 0.0000
Tb4 0.8985 0.8684 0.0000
Er1 0.1394 0.4138 0.0000
Er2 0.3606 0.9138 0.0000
Er3 0.6394 0.0862 0.0000
Er4 0.8606 0.5862 0.0000
Si1 0.0408 0.2865 0.5000
Si2 0.1288 0.5696 0.5000
Si3 0.1294 0.9693 0.5000
Si4 0.1802 0.8080 0.5000
Si5 0.3198 0.3080 0.5000
Si6 0.3712 0.0696 0.5000
Si7 0.3706 0.4693 0.5000
Si8 0.4592 0.7865 0.5000
Si9 0.5408 0.2135 0.5000
Si10 0.6294 0.5307 0.5000
Si11 0.6288 0.9304 0.5000
Si12 0.6802 0.6920 0.5000
Si13 0.8198 0.1920 0.5000
Si14 0.8706 0.0307 0.5000
Si15 0.8712 0.4304 0.5000
Si16 0.9592 0.7135 0.5000

Summary:
The space-group type is No. 55. The calculation puts the raw formation energy at -2.5 eV per formula unit. As for the crystal system: orthorhombic. For the total magnetization, the calculation gives 0.00 μB/cell. The value obtained for the raw total energy is -5.559 eV per atom.

=====

Record 19
Here is a relaxed structure of TbEr2Si2 from Alexandria. Energies are from PBE.

a b c (Å): 7.4779 7.4779 4.1609
angles (deg): 90.00 90.00 90.00
Atoms (fractional coordinates):
Tb1 0.0000 0.0000 0.0000
Tb2 0.5000 0.5000 0.0000
Er1 0.1759 0.3241 0.5000
Er2 0.3241 0.8241 0.5000
Er3 0.6759 0.1759 0.5000
Er4 0.8241 0.6759 0.5000
Si1 0.1162 0.6162 0.0000
Si2 0.3838 0.1162 0.0000
Si3 0.6162 0.8838 0.0000
Si4 0.8838 0.3838 0.0000

Summary:
As for the offset from the most stable computed form: 0 meV per atom. The space-group type is No. 127. The calculation puts the raw formation energy at -3.4 eV per formula unit. As for the crystal system: tetragonal. For the total magnetization, the calculation gives 0.00 μB/cell. The value obtained for the raw total energy is -5.600 eV per atom.

=====

Record 20
Here is a relaxed structure of TbErSi2 from Alexandria. Energies are from PBE.

a b c (Å): 5.7081 5.7081 5.7081
angles (deg): 47.20 47.20 47.20
Atoms (fractional coordinates):
Tb1 0.0000 0.0000 0.0000
Er1 0.5000 0.5000 0.5000
Si1 0.2469 0.2469 0.2469
Si2 0.7531 0.7531 0.7531

Summary:
As for the offset from the most stable computed form: 307 meV per atom. The space-group type is No. 166. The calculation puts the raw formation energy at -2.1 eV per formula unit. As for the crystal system: trigonal. For the total magnetization, the calculation gives 0.00 μB/cell. The value obtained for the raw total energy is -5.525 eV per atom.